The following is a DFT calculation (PBE) of an optimized crystal structure of SmHoScHg.

Cell and atoms, written as extended XYZ:
```
4
Lattice="0.000 3.777 3.777 3.777 0.000 3.777 3.777 3.777 0.000" Properties=species:S:1:pos:R:3 pbc="T T T"
Sm 0.000 0.000 0.000
Ho 3.777 3.777 3.777
Sc 5.665 5.665 5.665
Hg 1.888 1.888 1.888
```

## Properties
Energy of formation from the pure elements = -0.081 eV/atom
Space group = F-43m (216)
E_tot = -16.25 eV for the cell shown
ρ = 8.64 g cm⁻³
Calculated volume = 107.75 Å³/f.u.
Spin magnetization = 0.57 μB/f.u.

The following is a DFT calculation (PBE) of an optimized crystal structure of SmHoSc2Hg4.

Cell and atoms, written as extended XYZ:
```
8
Lattice="2.573 1.486 8.434 -2.573 1.486 8.434 0.000 -2.971 8.434" Properties=species:S:1:pos:R:3 pbc="T T T"
Sm 0.000 0.000 0.000
Ho 0.000 0.000 12.651
Sc 0.000 0.000 6.315
Sc 0.000 0.000 18.986
Hg 0.000 0.000 3.204
Hg 0.000 0.000 9.541
Hg 0.000 0.000 15.761
Hg 0.000 0.000 22.097
```

## Properties
Energy of formation from the pure elements = -0.440 eV/atom
Space group = R-3m (166)
E_tot = -26.68 eV for the cell shown
ρ = 10.36 g cm⁻³
Calculated volume = 193.47 Å³/f.u.
Spin magnetization = 0.87 μB/f.u.

The following is a DFT calculation (PBE) of an optimized crystal structure of HoScSnHg.

Cell and atoms, written as extended XYZ:
```
4
Lattice="0.000 3.638 3.638 3.638 0.000 3.638 3.638 3.638 0.000" Properties=species:S:1:pos:R:3 pbc="T T T"
Ho 0.000 0.000 0.000
Sc 3.638 3.638 3.638
Sn 5.457 5.457 5.457
Hg 1.819 1.819 1.819
```

## Properties
Energy of formation from the pure elements = -0.509 eV/atom
Space group = F-43m (216)
E_tot = -17.25 eV for the cell shown
ρ = 9.13 g cm⁻³
Calculated volume = 96.29 Å³/f.u.
Spin magnetization = 0.00 μB/f.u.

The following is a DFT calculation (PBE) of an optimized crystal structure of TbHoScHg.

Cell and atoms, written as extended XYZ:
```
4
Lattice="0.000 3.752 3.752 3.752 0.000 3.752 3.752 3.752 0.000" Properties=species:S:1:pos:R:3 pbc="T T T"
Tb 0.000 0.000 0.000
Ho 3.752 3.752 3.752
Sc 5.628 5.628 5.628
Hg 1.876 1.876 1.876
```

## Properties
Energy of formation from the pure elements = -0.079 eV/atom
Space group = F-43m (216)
E_tot = -16.16 eV for the cell shown
ρ = 8.95 g cm⁻³
Calculated volume = 105.62 Å³/f.u.
Spin magnetization = 0.64 μB/f.u.

The following is a DFT calculation (PBE) of an optimized crystal structure of HoScTcHg.

Cell and atoms, written as extended XYZ:
```
4
Lattice="0.000 3.459 3.459 3.459 0.000 3.459 3.459 3.459 0.000" Properties=species:S:1:pos:R:3 pbc="T T T"
Ho 0.000 0.000 0.000
Sc 3.459 3.459 3.459
Tc 5.188 5.188 5.188
Hg 1.729 1.729 1.729
```

## Properties
Energy of formation from the pure elements = -0.194 eV/atom
Space group = F-43m (216)
E_tot = -22.35 eV for the cell shown
ρ = 10.20 g cm⁻³
Calculated volume = 82.76 Å³/f.u.
Spin magnetization = 0.00 μB/f.u.

The following is a DFT calculation (PBE) of an optimized crystal structure of HoScTlHg.

Cell and atoms, written as extended XYZ:
```
4
Lattice="0.000 3.658 3.658 3.658 0.000 3.658 3.658 3.658 0.000" Properties=species:S:1:pos:R:3 pbc="T T T"
Ho 0.000 0.000 0.000
Sc 3.658 3.658 3.658
Tl 1.829 1.829 1.829
Hg 5.486 5.486 5.486
```

## Properties
Energy of formation from the pure elements = -0.368 eV/atom
Space group = F-43m (216)
E_tot = -15.05 eV for the cell shown
ρ = 10.43 g cm⁻³
Calculated volume = 97.86 Å³/f.u.
Spin magnetization = 0.65 μB/f.u.

The following is a DFT calculation (PBE) of an optimized crystal structure of YHoSc2Hg4.

Cell and atoms, written as extended XYZ:
```
8
Lattice="2.562 1.479 8.369 -2.562 1.479 8.369 0.000 -2.958 8.369" Properties=species:S:1:pos:R:3 pbc="T T T"
Y 0.000 0.000 0.000
Ho 0.000 0.000 12.553
Sc 0.000 0.000 6.276
Sc 0.000 0.000 18.830
Hg 0.000 0.000 3.153
Hg 0.000 0.000 9.430
Hg 0.000 0.000 15.676
Hg 0.000 0.000 21.952
```

## Properties
Energy of formation from the pure elements = -0.454 eV/atom
Space group = R-3m (166)
E_tot = -28.55 eV for the cell shown
ρ = 10.00 g cm⁻³
Calculated volume = 190.29 Å³/f.u.
Spin magnetization = 0.55 μB/f.u.

The following is a DFT calculation (PBE) of an optimized crystal structure of YHo2ScHg4.

Cell and atoms, written as extended XYZ:
```
8
Lattice="2.591 1.496 8.489 -2.591 1.496 8.489 0.000 -2.992 8.489" Properties=species:S:1:pos:R:3 pbc="T T T"
Y 0.000 0.000 0.000
Ho 0.000 0.000 6.323
Ho 0.000 0.000 19.145
Sc 0.000 0.000 12.734
Hg 0.000 0.000 3.223
Hg 0.000 0.000 9.617
Hg 0.000 0.000 15.851
Hg 0.000 0.000 22.244
```

## Properties
Energy of formation from the pure elements = -0.467 eV/atom
Space group = R-3m (166)
E_tot = -26.89 eV for the cell shown
ρ = 10.65 g cm⁻³
Calculated volume = 197.40 Å³/f.u.
Spin magnetization = 0.42 μB/f.u.

The following is a DFT calculation (PBE) of an optimized crystal structure of HoScZnHg.

Cell and atoms, written as extended XYZ:
```
4
Lattice="0.000 3.547 3.547 3.547 0.000 3.547 3.547 3.547 0.000" Properties=species:S:1:pos:R:3 pbc="T T T"
Ho 0.000 0.000 0.000
Sc 3.547 3.547 3.547
Zn 5.320 5.320 5.320
Hg 1.773 1.773 1.773
```

## Properties
Energy of formation from the pure elements = -0.383 eV/atom
Energy above the lowest structure with this stoichiometry = 0.021 eV per atom
Space group = F-43m (216)
E_tot = -14.02 eV for the cell shown
ρ = 8.86 g cm⁻³
Calculated volume = 89.22 Å³/f.u.
Spin magnetization = 0.03 μB/f.u.

The following is a DFT calculation (PBE) of an optimized crystal structure of HoScZnHg.

Cell and atoms, written as extended XYZ:
```
4
Lattice="3.495 0.000 0.000 0.000 3.495 0.000 0.000 0.000 7.202" Properties=species:S:1:pos:R:3 pbc="T T T"
Ho 0.000 0.000 0.000
Sc 0.000 0.000 3.844
Zn 1.748 1.748 5.371
Hg 1.748 1.748 2.062
```

## Properties
Energy of formation from the pure elements = -0.405 eV/atom
Energy above the lowest structure with this stoichiometry = 0.000 eV per atom
Space group = P4mm (99)
E_tot = -14.10 eV for the cell shown
ρ = 8.98 g cm⁻³
Calculated volume = 87.99 Å³/f.u.
Spin magnetization = 0.00 μB/f.u.

The following is a DFT calculation (PBE) of an optimized crystal structure of HoHgSe.

Cell and atoms, written as extended XYZ:
```
6
Lattice="4.099 0.000 0.000 0.000 4.099 0.000 0.000 0.000 8.774" Properties=species:S:1:pos:R:3 pbc="T T T"
Ho 1.025 1.025 1.619
Ho 3.074 3.074 7.155
Hg 1.025 3.074 4.387
Hg 3.074 1.025 4.387
Se 1.025 1.025 7.507
Se 3.074 3.074 1.267
```

## Properties
Space group = P4/nmm (129)
E_tot = -23.34 eV for the cell shown
ρ = 10.02 g cm⁻³
Energy relative to the elements, uncorrected = -1.103 eV/atom
Calculated volume = 73.70 Å³/f.u.
Spin magnetization = 0.00 μB/f.u.

The following is a DFT calculation (PBE) of an optimized crystal structure of Ho3HgSe2.

Cell and atoms, written as extended XYZ:
```
6
Lattice="-1.995 2.944 6.419 1.995 -2.944 6.419 1.995 2.944 -6.419" Properties=species:S:1:pos:R:3 pbc="T T T"
Ho 0.000 0.000 0.000
Ho 0.000 0.000 4.187
Ho 0.000 0.000 8.652
Hg 0.000 2.944 0.000
Se 1.995 0.000 2.121
Se 0.000 2.944 4.298
```

## Properties
Space group = Immm (71)
E_tot = -28.82 eV for the cell shown
ρ = 9.40 g cm⁻³
Energy relative to the elements, uncorrected = -1.303 eV/atom
Calculated volume = 150.78 Å³/f.u.
Spin magnetization = 0.00 μB/f.u.